Entry 1:
The following is a DFT calculation (PBE-GGA) of a relaxed Pm2Ho6Zn crystal.

a = 5.3951 Å, b = 9.7380 Å, c = 10.1834 Å
α = 90.00°, β = 90.01°, γ = 90.00°
With the nearest neighbours (Å) after each atom.
Sites, in units of the cell vectors:
Ho 0.5000 0.5165 0.3131  1 Zn 3.19, 3 Pm 3.24-3.25, 3 Ho 3.50-3.56
Ho 0.0000 0.0164 0.1868  1 Zn 3.19, 3 Pm 3.24-3.25, 3 Ho 3.50-3.56
Ho 0.4999 0.8652 0.3965  2 Zn 3.18, 3 Ho 3.35-3.50, 3 Pm 3.48-3.54
Ho 0.9999 0.6890 0.5720  1 Zn 3.12, 3 Pm 3.31-3.44, 1 Ho 3.35
Ho 0.9999 0.6348 0.8965  2 Zn 3.18, 3 Ho 3.35-3.50, 3 Pm 3.48-3.54
Ho 0.0000 0.9836 0.8132  1 Zn 3.19, 3 Pm 3.24-3.25, 3 Ho 3.50-3.56
Ho 0.5001 0.1348 0.6035  2 Zn 3.18, 3 Ho 3.35-3.50, 3 Pm 3.48-3.54
Ho 0.0001 0.3652 0.1035  2 Zn 3.18, 3 Ho 3.35-3.50, 3 Pm 3.48-3.54
Ho 0.5001 0.1890 0.9280  1 Zn 3.12, 3 Pm 3.31-3.44, 1 Ho 3.35
Ho 0.0001 0.3110 0.4280  1 Zn 3.12, 3 Pm 3.31-3.44, 1 Ho 3.35
Ho 0.5000 0.4835 0.6869  1 Zn 3.19, 3 Pm 3.24-3.25, 3 Ho 3.50-3.56
Ho 0.4999 0.8110 0.0720  1 Zn 3.12, 3 Pm 3.31-3.44, 1 Ho 3.35
Zn 0.0000 0.0000 0.5000  8 Ho 3.12-3.19
Zn 0.5000 0.5000 0.0000  8 Ho 3.12-3.19
Pm 0.5001 0.1895 0.2529  10 Ho 3.24-3.61
Pm 0.9999 0.6895 0.2471  10 Ho 3.24-3.61
Pm 0.0001 0.3105 0.7529  10 Ho 3.24-3.61
Pm 0.4999 0.8105 0.7471  10 Ho 3.24-3.61

Calculated values
Energy of formation from the pure elements: 0.0325 eV per atom
Size of the total moment: 0.0 μB/cell
Total energy: -4.217 eV/atom
Volume: 267.5 Å³/f.u.
Symmetry: Pnnm (58)

---

Entry 2:
The following is a DFT calculation (PBE-GGA) of a relaxed Pm3HoZn8 crystal.

a = 5.6344 Å, b = 5.6344 Å, c = 8.6894 Å
α = 90.00°, β = 90.00°, γ = 120.00°
With the nearest neighbours (Å) after each atom.
Sites, in units of the cell vectors:
Zn 0.1662 0.8338 0.2527  6 Zn 2.68-2.82
Zn 0.3333 0.6667 0.0016  6 Zn 2.72-2.73
Zn 0.6676 0.8338 0.2527  6 Zn 2.68-2.82
Zn 0.3333 0.6667 0.4980  6 Zn 2.68-2.70
Zn 0.0041 0.5020 0.7479  6 Zn 2.70-2.85
Zn 0.4980 0.9959 0.7479  6 Zn 2.70-2.85
Zn 0.1662 0.3324 0.2527  6 Zn 2.68-2.82
Zn 0.4980 0.5020 0.7479  6 Zn 2.70-2.85
Ho 0.0000 0.0000 0.5555  12 Zn 3.09-3.29, 4 Pm 3.38-3.39
Pm 0.6667 0.3333 0.0524  12 Zn 3.12-3.31, 4 Pm 3.39-3.42
Pm 0.6667 0.3333 0.4460  12 Zn 3.10-3.28, 3 Ho 3.39, 1 Pm 3.42
Pm 0.0000 0.0000 0.9447  12 Zn 3.13-3.30, 1 Ho 3.38, 3 Pm 3.39

Calculated values
Energy of formation from the pure elements: -0.3105 eV per atom
Size of the total moment: 0.0 μB/cell
Total energy: -2.729 eV/atom
Offset from the most stable computed form: 0.18 eV per formula unit
Volume: 238.9 Å³/f.u.
Symmetry: P3m1 (156)

---

Entry 3:
The following is a DFT calculation (PBE-GGA) of a relaxed PmHo3Zn2 crystal.

a = 3.5565 Å, b = 3.5565 Å, c = 12.2514 Å
α = 90.00°, β = 90.00°, γ = 90.00°
With the nearest neighbours (Å) after each atom.
Sites, in units of the cell vectors:
Pm 0.5000 0.5000 0.5000  4 Pm 3.56, 8 Ho 3.62
Ho 0.0000 0.0000 0.2875  4 Zn 3.07
Ho 0.0000 0.0000 0.7125  4 Zn 3.07
Ho 0.0000 0.0000 0.0000  8 Zn 3.07
Zn 0.5000 0.5000 0.8570  8 Ho 3.07
Zn 0.5000 0.5000 0.1430  8 Ho 3.07

Calculated values
Energy of formation from the pure elements: -0.2303 eV per atom
Size of the total moment: 0.0 μB/cell
Total energy: -3.736 eV/atom
Volume: 155.0 Å³/f.u.
Symmetry: P4/mmm (123)

---

Entry 4:
The following is a DFT calculation (PBE-GGA) of a relaxed PmHoZn4 crystal.

a = 4.5023 Å, b = 5.7398 Å, c = 5.7398 Å
α = 76.92°, β = 66.91°, γ = 66.91°
With the nearest neighbours (Å) after each atom.
Sites, in units of the cell vectors:
Ho 0.0000 0.0000 0.0000  12 Zn 3.14-3.17
Pm 0.0000 0.5000 0.5000  12 Zn 3.14-3.17
Zn 0.3336 0.9202 0.4126  3 Zn 2.59-2.60
Zn 0.6664 0.5874 0.0798  3 Zn 2.59-2.60
Zn 0.6664 0.0798 0.5874  3 Zn 2.59-2.60
Zn 0.3336 0.4126 0.9202  3 Zn 2.59-2.60

Calculated values
Energy of formation from the pure elements: -0.3612 eV per atom
Size of the total moment: 0.0 μB/cell
Total energy: -2.765 eV/atom
Offset from the most stable computed form: 0.00 eV per formula unit
Volume: 125.1 Å³/f.u.
Symmetry: Immm (71)

---

Entry 5:
The following is a DFT calculation (PBE-GGA) of a relaxed Pm4HoZn crystal.

a = 5.2287 Å, b = 5.2298 Å, c = 7.5347 Å
α = 89.95°, β = 89.97°, γ = 90.00°
With the nearest neighbours (Å) after each atom.
Sites, in units of the cell vectors:
Ho 0.5011 0.4974 0.9983  8 Pm 3.31
Pm 0.5014 0.9977 0.7285  2 Zn 3.14, 2 Ho 3.31, 1 Pm 3.47
Pm 0.5014 0.9970 0.2675  2 Zn 3.14, 2 Ho 3.31, 1 Pm 3.47
Pm 0.0010 0.4972 0.2677  2 Zn 3.14, 2 Ho 3.31, 1 Pm 3.47
Pm 0.0014 0.4973 0.7286  2 Zn 3.14, 2 Ho 3.31, 1 Pm 3.47
Zn 0.0015 0.9971 0.4982  8 Pm 3.14

Calculated values
Energy of formation from the pure elements: 0.3679 eV per atom
Size of the total moment: 0.0 μB/cell
Total energy: -3.774 eV/atom
Offset from the most stable computed form: 2.78 eV per formula unit
Volume: 206.0 Å³/f.u.
Symmetry: P4/mmm (123)

---

Entry 6:
The following is a DFT calculation (PBE-GGA) of a relaxed Pm2HoZn3 crystal.

a = 5.1210 Å, b = 5.1210 Å, c = 6.2796 Å
α = 90.00°, β = 90.00°, γ = 120.00°
With the nearest neighbours (Å) after each atom.
Sites, in units of the cell vectors:
Zn 0.6667 0.3333 0.8348  5 Pm 3.08-3.19, 3 Ho 3.13
Zn 0.0000 0.0000 0.5000  2 Ho 3.14, 6 Pm 3.15
Zn 0.3333 0.6667 0.1652  5 Pm 3.08-3.19, 3 Ho 3.13
Pm 0.6667 0.3333 0.3260  8 Zn 3.08-3.19
Pm 0.3333 0.6667 0.6740  8 Zn 3.08-3.19
Ho 0.0000 0.0000 0.0000  8 Zn 3.13-3.14

Calculated values
Energy of formation from the pure elements: -0.3226 eV per atom
Size of the total moment: 0.0 μB/cell
Total energy: -3.306 eV/atom
Volume: 142.6 Å³/f.u.
Symmetry: P-3m1 (164)

---

Entry 7:
The following is a DFT calculation (PBE-GGA) of a relaxed Pm2HoZn3 crystal.

a = 3.6153 Å, b = 3.6153 Å, c = 10.9236 Å
α = 90.00°, β = 90.00°, γ = 90.00°
With the nearest neighbours (Å) after each atom.
Sites, in units of the cell vectors:
Zn 0.0000 0.0000 0.6559  4 Ho 3.07, 4 Pm 3.18, 1 Zn 3.41
Zn 0.0000 0.0000 0.3441  4 Ho 3.07, 4 Pm 3.18, 1 Zn 3.41
Zn 0.0000 0.0000 0.0000  8 Pm 3.16
Pm 0.5000 0.5000 0.8297  8 Zn 3.16-3.18
Pm 0.5000 0.5000 0.1703  8 Zn 3.16-3.18
Ho 0.5000 0.5000 0.5000  8 Zn 3.07

Calculated values
Energy of formation from the pure elements: -0.3210 eV per atom
Size of the total moment: 0.0 μB/cell
Total energy: -3.304 eV/atom
Volume: 142.8 Å³/f.u.
Symmetry: P4/mmm (123)

---

Entry 8:
The following is a DFT calculation (PBE-GGA) of a relaxed Pm2HoZn crystal.

a = 3.4952 Å, b = 3.4952 Å, c = 12.1574 Å
α = 81.74°, β = 81.74°, γ = 60.00°
With the nearest neighbours (Å) after each atom.
Sites, in units of the cell vectors:
Zn 0.0000 0.0000 0.0000  2 Pm 3.13, 6 Zn 3.50
Pm 0.9129 0.9129 0.2612  1 Zn 3.13, 6 Pm 3.50, 3 Ho 3.50
Pm 0.0871 0.0871 0.7388  1 Zn 3.13, 6 Pm 3.50, 3 Ho 3.50
Ho 0.5000 0.5000 0.5000  6 Ho 3.50, 6 Pm 3.50

Calculated values
Energy of formation from the pure elements: 0.2439 eV per atom
Size of the total moment: 0.0 μB/cell
Total energy: -3.594 eV/atom
Offset from the most stable computed form: 1.60 eV per formula unit
Volume: 126.8 Å³/f.u.
Symmetry: R-3m (166)

---

Entry 9:
The following is a DFT calculation (PBE-GGA) of a relaxed PmHo2Zn crystal.

a = 3.5985 Å, b = 3.5985 Å, c = 10.4887 Å
α = 80.12°, β = 80.12°, γ = 60.00°
With the nearest neighbours (Å) after each atom.
Sites, in units of the cell vectors:
Zn 0.6663 0.6663 0.0012  6 Ho 3.00-3.02
Pm 0.5005 0.5005 0.4986  6 Pm 3.60, 6 Ho 3.61-3.63
Ho 0.0706 0.0706 0.7882  3 Zn 3.02
Ho 0.2627 0.2627 0.2120  3 Zn 3.00

Calculated values
Energy of formation from the pure elements: -0.0552 eV per atom
Size of the total moment: 0.0 μB/cell
Total energy: -3.850 eV/atom
Offset from the most stable computed form: 0.44 eV per formula unit
Volume: 115.3 Å³/f.u.
Symmetry: R3m (160)

---

Entry 10:
The following is a DFT calculation (PBE-GGA) of a relaxed PmHo4Zn4 crystal.

a = 5.0771 Å, b = 9.4781 Å, c = 9.4781 Å
α = 90.00°, β = 90.00°, γ = 90.00°
With the nearest neighbours (Å) after each atom.
Sites, in units of the cell vectors:
Ho 0.9998 0.3492 0.1077  4 Zn 2.95-3.00
Ho 0.9998 0.6508 0.8923  4 Zn 2.95-3.00
Ho 0.4998 0.6077 0.1508  4 Zn 2.95-3.00
Ho 0.0002 0.1077 0.6508  4 Zn 2.95-3.00
Ho 0.0002 0.8923 0.3492  4 Zn 2.95-3.00
Ho 0.5002 0.1508 0.3923  4 Zn 2.95-3.00
Ho 0.5002 0.8492 0.6077  4 Zn 2.95-3.00
Ho 0.4998 0.3923 0.8492  4 Zn 2.95-3.00
Zn 0.9998 0.5787 0.3174  2 Zn 2.67, 1 Ho 2.95
Zn 0.0002 0.3174 0.4213  2 Zn 2.67, 1 Ho 2.95
Zn 0.4998 0.1826 0.0787  2 Zn 2.67, 1 Ho 2.95
Zn 0.4998 0.8174 0.9213  2 Zn 2.67, 1 Ho 2.95
Zn 0.0002 0.6826 0.5787  2 Zn 2.67, 1 Ho 2.95
Zn 0.5002 0.0787 0.8174  2 Zn 2.67, 1 Ho 2.95
Zn 0.5002 0.9213 0.1826  2 Zn 2.67, 1 Ho 2.95
Zn 0.9998 0.4213 0.6826  2 Zn 2.67, 1 Ho 2.95
Pm 0.5000 0.5000 0.5000  8 Zn 3.16, 4 Ho 3.46
Pm 0.0000 0.0000 0.0000  8 Zn 3.16, 4 Ho 3.46

Calculated values
Energy of formation from the pure elements: -0.1410 eV per atom
Size of the total moment: 0.0 μB/cell
Total energy: -3.270 eV/atom
Volume: 228.0 Å³/f.u.
Symmetry: I4/m (87)

---

Entry 11:
The following is a DFT calculation (PBE-GGA) of a relaxed Pm2Ho8Zn crystal.

a = 5.4800 Å, b = 6.4067 Å, c = 9.9266 Å
α = 86.03°, β = 106.02°, γ = 90.00°
With the nearest neighbours (Å) after each atom.
Sites, in units of the cell vectors:
Ho 0.4233 0.6100 0.8465  1 Zn 2.99, 3 Ho 3.16-3.34
Ho 0.1549 0.1870 0.3099  6 Ho 3.34-3.68, 4 Pm 3.54-3.61
Ho 0.8451 0.8130 0.6901  6 Ho 3.34-3.68, 4 Pm 3.54-3.61
Ho 0.9585 0.2546 0.9171  2 Zn 3.26, 6 Ho 3.52-3.62
Ho 0.3461 0.1236 0.6921  1 Zn 2.99
Ho 0.6539 0.8764 0.3079  1 Zn 2.99
Ho 0.5767 0.3900 0.1535  1 Zn 2.99, 3 Ho 3.16-3.34
Ho 0.0415 0.7454 0.0829  2 Zn 3.26, 6 Ho 3.52-3.62
Zn 0.5000 0.0000 0.0000  8 Ho 2.99-3.26
Pm 0.7583 0.3299 0.5166  9 Ho 3.43-3.82, 2 Pm 3.50
Pm 0.2417 0.6701 0.4834  9 Ho 3.43-3.82, 2 Pm 3.50

Calculated values
Energy of formation from the pure elements: -0.0110 eV per atom
Size of the total moment: 0.0 μB/cell
Total energy: -4.320 eV/atom
Volume: 334.1 Å³/f.u.
Symmetry: C2/m (12)

---

Entry 12:
The following is a DFT calculation (PBE-GGA) of a relaxed PmHo2Zn crystal.

a = 5.3475 Å, b = 5.3475 Å, c = 5.3475 Å
α = 60.00°, β = 60.00°, γ = 60.00°
With the nearest neighbours (Å) after each atom.
Sites, in units of the cell vectors:
Pm 0.5000 0.5000 0.5000  8 Ho 3.27
Ho 0.2500 0.2500 0.2500  4 Pm 3.27, 4 Zn 3.27
Ho 0.7500 0.7500 0.7500  4 Pm 3.27, 4 Zn 3.27
Zn 0.0000 0.0000 0.0000  8 Ho 3.27

Calculated values
Energy of formation from the pure elements: 0.0928 eV per atom
Size of the total moment: 0.0 μB/cell
Total energy: -3.702 eV/atom
Offset from the most stable computed form: 1.03 eV per formula unit
Volume: 108.1 Å³/f.u.
Symmetry: Fm-3m (225)